# 1
A plane-wave DFT calculation with PBE was carried out for Te2PbW after structural relaxation.

Output
The uncorrected formation energy comes out at 557 meV per atom.

Lattice parameters (Å, degrees): 3.244 3.244 11.289 90.00 90.00 115.88
Fractional coordinates of all 4 atoms:
Pb 0.500 0.500 0.750
Te 0.000 0.000 0.058
Te 0.000 0.000 0.442
W 0.500 0.500 0.250

=====

# 2
A plane-wave DFT calculation with PBE was carried out for TePb2W after structural relaxation.

Output
The uncorrected formation energy comes out at 979 meV per atom.

Lattice parameters (Å, degrees): 5.815 5.815 3.100 90.00 90.00 90.00
Site moments in Bohr magnetons follow the coordinates.
Fractional coordinates of all 4 atoms:
Pb 0.000 0.000 0.000  -0.02
Pb 0.500 0.500 0.000  -0.02
Te 0.500 0.000 0.500  0.04
W 0.000 0.500 0.500  1.32

=====

# 3
A plane-wave DFT calculation with PBE was carried out for Te2PbW after structural relaxation.

Output
The uncorrected formation energy comes out at 565 meV per atom.

Lattice parameters (Å, degrees): 3.117 3.117 11.489 90.00 90.00 110.45
Fractional coordinates of all 4 atoms:
Pb 0.500 0.500 0.705
Te 0.000 0.000 0.006
Te 0.500 0.500 0.303
W 0.000 0.000 0.486

=====

# 4
A plane-wave DFT calculation with PBE was carried out for TePb2W after structural relaxation.

Output
The uncorrected formation energy comes out at 675 meV per atom.

Lattice parameters (Å, degrees): 12.228 12.228 12.228 14.94 14.94 14.94
Fractional coordinates of all 4 atoms:
Pb 0.015 0.015 0.015
Pb 0.485 0.485 0.485
Te 0.250 0.250 0.250
W 0.750 0.750 0.750

=====

# 5
A plane-wave DFT calculation with PBE was carried out for Te2PbW after structural relaxation.

Output
The uncorrected formation energy comes out at 997 meV per atom.

Lattice parameters (Å, degrees): 5.667 5.667 5.667 132.01 132.01 70.21
Site moments in Bohr magnetons follow the coordinates.
Fractional coordinates of all 4 atoms:
Pb 0.750 0.250 0.500  -0.01
Te 0.000 0.000 0.000  -0.03
Te 0.250 0.750 0.500  -0.05
W 0.500 0.500 0.000  1.23

=====

# 6
A plane-wave DFT calculation with PBE was carried out for TePb2W after structural relaxation.

Output
The uncorrected formation energy comes out at 467 meV per atom.

Lattice parameters (Å, degrees): 5.083 5.083 7.292 70.72 70.72 39.23
Site moments in Bohr magnetons follow the coordinates.
Fractional coordinates of all 4 atoms:
Pb 0.918 0.918 0.022  0.00
Pb 0.736 0.736 0.727  0.00
Te 0.567 0.567 0.373  -0.01
W 0.279 0.279 0.378  0.27

=====

# 7
A plane-wave DFT calculation with PBE was carried out for TePb2W after structural relaxation.

Output
The uncorrected formation energy comes out at 568 meV per atom.

Lattice parameters (Å, degrees): 7.419 7.419 7.419 153.46 143.03 46.09
Fractional coordinates of all 4 atoms:
Pb 0.068 0.068 0.000
Pb 0.742 0.242 0.500
Te 0.423 0.423 0.000
W 0.267 0.767 0.500

=====

# 8
A plane-wave DFT calculation with PBE was carried out for TePbW after structural relaxation.

Output
The offset from the most stable computed form is 0.292 eV/atom. The uncorrected formation energy comes out at 708 meV per atom.

Lattice parameters (Å, degrees): 8.734 8.497 3.161 83.69 75.23 21.08
Fractional coordinates of all 3 atoms:
Pb 0.025 0.025 0.975
Te 0.300 0.300 0.700
W 0.674 0.674 0.326

=====

# 9
A plane-wave DFT calculation with PBE was carried out for Te2PbW after structural relaxation.

Output
The uncorrected formation energy comes out at 396 meV per atom.

Lattice parameters (Å, degrees): 7.961 7.961 7.961 155.30 148.40 40.52
Fractional coordinates of all 4 atoms:
Pb 0.325 0.825 0.500
Te 0.976 0.976 0.000
Te 0.669 0.169 0.500
W 0.529 0.529 0.000

=====

# 10
A plane-wave DFT calculation with PBE was carried out for Te4PbW2 after structural relaxation.

Output
The uncorrected formation energy comes out at 1035 meV per atom.

Lattice parameters (Å, degrees): 5.807 5.807 8.186 69.23 69.23 90.00
Site moments in Bohr magnetons follow the coordinates.
Fractional coordinates of all 7 atoms:
Pb 0.000 0.000 0.000  0.01
Te 0.766 0.766 0.468  0.02
Te 0.234 0.234 0.532  0.02
Te 0.000 0.500 0.000  -0.05
Te 0.500 0.000 0.000  -0.05
W 0.585 0.585 0.830  1.09
W 0.415 0.415 0.170  1.09

=====

# 11
A plane-wave DFT calculation with PBE was carried out for Te3PbW after structural relaxation.

Output
The offset from the most stable computed form is 0.000 eV/atom. The uncorrected formation energy comes out at 485 meV per atom.

Lattice parameters (Å, degrees): 5.369 5.369 5.369 90.00 90.00 90.00
Site moments in Bohr magnetons follow the coordinates.
Fractional coordinates of all 5 atoms:
Pb 0.500 0.500 0.500  0.12
Te 0.000 0.500 0.000  -0.02
Te 0.000 0.000 0.500  -0.03
Te 0.500 0.000 0.000  -0.04
W 0.000 0.000 0.000  0.47

=====

# 12
A plane-wave DFT calculation with PBE was carried out for TePbW after structural relaxation.

Output
The offset from the most stable computed form is 0.432 eV/atom. The uncorrected formation energy comes out at 848 meV per atom.

Lattice parameters (Å, degrees): 4.832 4.832 3.418 90.00 90.00 120.00
Fractional coordinates of all 3 atoms:
Pb 0.000 0.000 0.000
Te 0.667 0.333 0.500
W 0.333 0.667 0.500